No. 1
! BeCu2Br (PBE, optimized geometry); values from VASP
&SYSTEM
  ibrav = 0, nat = 4, ntyp = 3
/
ATOMIC_SPECIES
Be 9.01 Be.upf
Cu 63.55 Cu.upf
Br 79.90 Br.upf
CELL_PARAMETERS angstrom
5.327 0.000 0.000
0.000 3.441 0.000
0.000 0.000 3.441
ATOMIC_POSITIONS crystal
Be 0.500 0.500 0.000
Cu 0.000 0.000 0.000
Cu 0.000 0.500 0.500
Br 0.500 0.000 0.500
! Space group = P4/mmm
! Energy relative to the lowest polymorph listed for this composition = 508 meV/atom

---

No. 2
! BeCuBr2 (PBE, optimized geometry); values from VASP
&SYSTEM
  ibrav = 0, nat = 4, ntyp = 3
/
ATOMIC_SPECIES
Be 9.01 Be.upf
Cu 63.55 Cu.upf
Br 79.90 Br.upf
CELL_PARAMETERS angstrom
3.576 0.000 0.000
0.000 7.346 0.000
0.000 0.000 3.576
ATOMIC_POSITIONS crystal
Be 0.000 0.500 0.500
Cu 0.500 0.000 0.500
Br 0.000 0.000 0.000
Br 0.500 0.500 0.000
! Space group = Pmmm
! Energy relative to the lowest polymorph listed for this composition = 444 meV/atom

---

No. 3
! BeCu2HBr (PBE, optimized geometry); values from VASP
&SYSTEM
  ibrav = 0, nat = 5, ntyp = 4
/
ATOMIC_SPECIES
Be 9.01 Be.upf
Cu 63.55 Cu.upf
Br 79.90 Br.upf
H 1.01 H.upf
CELL_PARAMETERS angstrom
4.742 0.000 0.000
0.000 4.630 0.000
0.000 0.000 4.742
ATOMIC_POSITIONS crystal
Be 0.000 0.500 0.000
Cu 0.000 0.000 0.500
Cu 0.500 0.000 0.000
Br 0.000 0.000 0.000
H 0.500 0.500 0.500
! Total energy = -0.1368 Ry/atom
! Space group = P4/mmm

---

No. 4
! BeCuMoBr2 (PBE, optimized geometry); values from VASP
&SYSTEM
  ibrav = 0, nat = 5, ntyp = 4
/
ATOMIC_SPECIES
Be 9.01 Be.upf
Mo 95.94 Mo.upf
Cu 63.55 Cu.upf
Br 79.90 Br.upf
CELL_PARAMETERS angstrom
4.870 0.000 0.000
0.000 4.461 0.000
0.000 0.000 4.870
ATOMIC_POSITIONS crystal
Be 0.000 0.000 0.000
Mo 0.500 0.500 0.500
Cu 0.000 0.500 0.000
Br 0.000 0.000 0.500
Br 0.500 0.000 0.000
! Total energy = -0.2524 Ry/atom
! Space group = P4/mmm

---

No. 5
! Dy4BeBr5 (PBE, optimized geometry); values from VASP
&SYSTEM
  ibrav = 0, nat = 10, ntyp = 3
/
ATOMIC_SPECIES
Dy 162.50 Dy.upf
Be 9.01 Be.upf
Br 79.90 Br.upf
CELL_PARAMETERS angstrom
-0.905 -3.721 -0.713
5.269 -2.435 6.017
-6.976 2.365 7.157
ATOMIC_POSITIONS crystal
Dy 0.373 0.002 0.745
Dy 0.000 0.777 0.000
Dy 0.627 0.998 0.255
Dy 0.000 0.223 0.000
Be 0.500 0.000 0.000
Br 0.848 0.756 0.696
Br 0.848 0.249 0.697
Br 0.152 0.751 0.303
Br 0.500 0.500 0.000
Br 0.152 0.244 0.304
! Total energy = -0.3142 Ry/atom
! Space group = C2/m

---

No. 6
! Dy7BeBr12 (PBE, optimized geometry); values from VASP
&SYSTEM
  ibrav = 0, nat = 20, ntyp = 3
/
ATOMIC_SPECIES
Dy 162.50 Dy.upf
Be 9.01 Be.upf
Br 79.90 Br.upf
CELL_PARAMETERS angstrom
8.695 -0.187 -2.647
-3.521 7.952 -2.647
-0.125 -0.187 9.088
ATOMIC_POSITIONS crystal
Dy 0.966 0.683 0.892
Dy 0.317 0.108 0.034
Dy 0.108 0.034 0.317
Dy 0.500 0.500 0.500
Dy 0.892 0.966 0.683
Dy 0.683 0.892 0.966
Dy 0.034 0.317 0.108
Be 0.000 0.000 0.000
Br 0.923 0.314 0.774
Br 0.686 0.226 0.077
Br 0.472 0.159 0.391
Br 0.841 0.609 0.528
Br 0.226 0.077 0.686
Br 0.609 0.528 0.841
Br 0.391 0.472 0.159
Br 0.774 0.923 0.314
Br 0.159 0.391 0.472
Br 0.528 0.841 0.609
Br 0.314 0.774 0.923
Br 0.077 0.686 0.226
! Total energy = -0.3164 Ry/atom
! Space group = R-3

---

No. 7
! ErBeBr (PBE, optimized geometry); values from VASP
&SYSTEM
  ibrav = 0, nat = 6, ntyp = 3
/
ATOMIC_SPECIES
Er 167.26 Er.upf
Be 9.01 Be.upf
Br 79.90 Br.upf
CELL_PARAMETERS angstrom
3.866 0.000 0.000
1.933 3.264 0.700
1.933 2.278 12.201
ATOMIC_POSITIONS crystal
Er 0.965 0.731 0.339
Er 0.035 0.269 0.661
Be 0.666 0.171 0.497
Be 0.334 0.829 0.503
Br 0.263 0.299 0.174
Br 0.737 0.701 0.826
! Total energy = -0.3083 Ry/atom
! Space group = C2/m

---

No. 8
! RbErBe2Br8 (PBE, optimized geometry); values from VASP
&SYSTEM
  ibrav = 0, nat = 12, ntyp = 4
/
ATOMIC_SPECIES
Rb 85.47 Rb.upf
Er 167.26 Er.upf
Be 9.01 Be.upf
Br 79.90 Br.upf
CELL_PARAMETERS angstrom
-3.884 -0.847 5.274
1.893 -4.025 4.882
4.034 6.330 8.123
ATOMIC_POSITIONS crystal
Rb 0.500 0.500 0.500
Er 0.000 0.000 0.000
Be 0.256 0.256 0.232
Be 0.744 0.744 0.768
Br 0.188 0.188 0.436
Br 0.599 0.280 0.160
Br 0.812 0.812 0.564
Br 0.961 0.599 0.160
Br 0.039 0.401 0.840
Br 0.280 0.961 0.160
Br 0.720 0.039 0.840
Br 0.401 0.720 0.840
! Total energy = -0.2635 Ry/atom
! Space group = R-3

---

| no. | calculated volume (Å³ per atom) | magnetization (μB/cell) |
| --- | --- | --- |
| 1 | 15.77 | 0.00 |
| 2 | 23.49 | 0.00 |
| 3 | 20.82 | 0.00 |
| 4 | 21.16 | 4.86 |
| 5 | 32.84 | 0.00 |
| 6 | 30.68 | 0.00 |
| 7 | 24.64 | 0.00 |
| 8 | 32.68 | 0.00 |